Entry 1:
Tb6CePr4: relaxed, GGA-PBE.

```
11
Lattice="7.5085 -2.8672 -5.4621 -5.1714 8.0224 1.8250 -1.8482 2.8672 9.0992" Properties=species:S:1:pos:R:3 pbc="T T T"
Tb 2.8301 0.0000 1.8186
Tb -3.7712 5.8503 8.1162
Tb -1.2043 5.0393 4.1215
Tb 3.4161 0.3104 -1.3406
Tb 1.1686 2.5776 -1.8186
Tb -4.9713 7.7121 5.4892
Pr -1.2606 1.9555 5.8067
Pr -3.3138 5.1408 1.3121
Pr 0.3054 2.8816 1.9027
Pr -2.2617 8.9341 7.3648
Ce 0.0000 0.0000 0.0000
```

Calculated values
**Energy of formation**: 3.36 eV per formula unit


Entry 2:
Tb4CePr15: relaxed, GGA-PBE.

```
20
Lattice="-4.4152 0.8029 2.6475 -0.1774 -5.0580 1.2381 13.7442 4.7739 21.4735" Properties=species:S:1:pos:R:3 pbc="T T T"
Pr 10.1716 4.7013 20.6648
Pr -0.8427 0.8755 3.4562
Pr -2.2963 -2.1276 1.9428
Pr 12.2905 1.7708 19.9600
Pr 7.4148 3.7437 16.3575
Pr 6.7834 -0.1421 11.3558
Pr 4.6645 2.7884 12.0605
Pr 0.4697 -1.1668 6.2643
Pr 1.2762 -2.0549 2.7515
Pr 9.5337 0.8132 15.6528
Pr 3.2067 -0.2161 10.5406
Pr 1.9142 1.8331 7.7635
Pr 4.0331 -1.0973 7.0588
Pr 8.6818 1.6856 19.0947
Pr 5.9448 0.7349 14.8184
Ce 0.0000 0.0000 0.0000
Tb 8.2461 2.8642 12.8836
Tb 10.9940 3.8187 17.1767
Tb 2.7502 0.9552 4.2968
Tb 5.4980 1.9097 8.5900
```

Calculated values
**Energy of formation**: 0.56 eV per formula unit


Entry 3:
Tb6CePr12: relaxed, GGA-PBE.

```
19
Lattice="9.1523 -0.6247 -3.1221 -4.1727 8.1697 -3.1221 -0.4123 -0.6247 9.6614" Properties=species:S:1:pos:R:3 pbc="T T T"
Tb 3.7256 3.4110 3.8144
Tb 4.1310 4.7667 0.5271
Tb 1.2842 5.6724 2.4978
Tb 3.2831 1.2478 0.9195
Tb 0.4362 2.1536 2.8901
Tb 0.8416 3.5093 -0.3971
Pr 2.9270 -0.1215 4.2590
Pr 6.6101 2.4516 1.8111
Pr 0.8377 4.2767 5.8304
Pr 6.2687 0.2901 -1.1212
Pr -1.6958 5.8780 -1.7921
Pr -2.0429 4.4686 1.6061
Pr -0.0059 0.7517 6.3303
Pr 1.6403 7.0417 -0.8418
Pr -1.7015 6.6301 4.5384
Pr 3.7296 2.6435 -2.4131
Pr 6.2631 1.0423 5.2094
Pr 4.5732 6.1685 -2.9131
Ce 0.0000 0.0000 0.0000
```

Calculated values
**Energy of formation**: 0.57 eV per formula unit


Entry 4:
Tb12CePr6: relaxed, GGA-PBE.

```
19
Lattice="8.7224 -0.1883 -1.2282 -1.3870 8.6134 -1.2282 -0.1640 -0.1883 8.8069" Properties=species:S:1:pos:R:3 pbc="T T T"
Pr 7.2513 2.5933 6.4212
Pr 1.5707 7.5392 6.4212
Pr 6.5640 7.5392 0.7823
Pr -0.0798 5.6435 -0.0707
Pr 0.6074 0.6976 5.5682
Pr 5.6007 0.6976 -0.0707
Tb 2.5779 2.9608 -0.1671
Tb 1.3163 4.1184 5.7381
Tb 3.2734 6.3662 0.6124
Tb 1.0039 6.3662 3.1752
Tb 4.5936 5.2760 6.5176
Tb 7.0255 5.2760 3.7713
Tb 2.9126 0.5521 2.5791
Tb 5.8552 4.1184 0.6124
Tb 4.2589 7.6847 3.7713
Tb 0.1460 2.9608 2.5791
Tb 6.1675 1.8706 3.1752
Tb 3.8981 1.8706 5.7381
Ce 0.0000 0.0000 0.0000
```

Calculated values
**Energy of formation**: 4.05 eV per formula unit


Entry 5:
Tb3CePr12: relaxed, GGA-PBE.

```
16
Lattice="5.2020 0.0000 0.0000 0.0000 5.2020 0.0000 0.0000 0.0000 20.7610" Properties=species:S:1:pos:R:3 pbc="T T T"
Pr 2.6010 0.0000 2.5719
Pr 2.6010 2.6010 15.5480
Pr 2.6010 0.0000 12.9813
Pr 0.0000 2.6010 18.1891
Pr 0.0000 2.6010 12.9813
Pr 0.0000 2.6010 7.7797
Pr 2.6010 0.0000 7.7797
Pr 2.6010 2.6010 10.3805
Pr 2.6010 0.0000 18.1891
Pr 2.6010 2.6010 5.2129
Pr 0.0000 2.6010 2.5719
Pr 2.6010 2.6010 0.0000
Tb 0.0000 0.0000 5.1872
Tb 0.0000 0.0000 15.5738
Tb 0.0000 0.0000 10.3805
Ce 0.0000 0.0000 0.0000
```

Calculated values
**Energy of formation**: 0.49 eV per formula unit


Entry 6:
Tb2CePr: relaxed, GGA-PBE.

```
4
Lattice="3.4806 0.0000 0.0000 1.7403 3.0143 0.0000 1.7403 1.0048 12.3456" Properties=species:S:1:pos:R:3 pbc="T T T"
Tb 1.7403 1.0048 8.9386
Tb 5.2209 3.0143 3.4070
Ce 3.4806 2.0095 6.1728
Pr 0.0000 0.0000 0.0000
```

Calculated values
**Energy of formation**: 0.67 eV per formula unit


Entry 7:
TbCe2Pr8: relaxed, GGA-PBE.

```
11
Lattice="5.4416 0.0000 -1.6523 -1.0323 7.6439 -3.3996 -0.0729 -0.4118 9.5462" Properties=species:S:1:pos:R:3 pbc="T T T"
Pr 0.6697 1.0714 2.2056
Pr 3.6666 6.1607 2.2887
Pr 2.5873 6.3458 -1.2657
Pr 1.3244 4.0307 4.3617
Pr -0.7259 5.3758 -2.3906
Pr 3.0119 3.2014 0.1326
Pr 5.0623 1.8564 6.8849
Pr 1.7490 0.8863 5.7600
Tb 2.7208 0.0000 -0.8262
Ce 3.9977 2.0430 3.3790
Ce 0.3387 5.1891 1.1153
```

Calculated values
**Energy of formation**: 1.70 eV per formula unit


Entry 8:
TbCePr: relaxed, GGA-PBE.

```
3
Lattice="-0.9530 -3.4037 -0.4685 2.9568 1.2528 -1.5493 4.6782 -2.2846 7.0811" Properties=species:S:1:pos:R:3 pbc="T T T"
Ce 4.7562 -1.8145 3.5073
Pr 4.6486 -2.2701 7.0362
Tb 1.9555 -2.6354 1.6010
```

Calculated values
**Energy of formation**: 0.23 eV per formula unit


Values of N(E_F), in order: 15.78; 34.25; 33.16; 31.62; 29.10; 7.40; 23.24; 6.85, all in states/eV/cell.
Values of electronic total energy, in order: -0.331; -0.351; -0.350; -0.333; -0.352; -0.355; -0.354; -0.370, all in Ry per atom.